No. 1
Entry from Alexandria via LeMat-Bulk: crystalline Cr5Co at its relaxed geometry (PBE-GGA).

## Properties
Polymorph energy (0 for the lowest one) (meV/atom): 223
Formation enthalpy at 0 K (meV/atom): 272
DOS(E_F) (states/eV/cell): 8.09
Size of the total moment (μB/f.u.): 1.13
Symmetry: F-43m, No. 216

a = 4.650 Å, b = 4.650 Å, c = 4.650 Å
α = 60.00°, β = 60.00°, γ = 60.00°
Sites, in units of the cell vectors:
Cr1 0.000 0.000 0.000
Cr2 0.374 0.374 0.374
Cr3 0.374 0.374 0.878
Cr4 0.374 0.878 0.374
Cr5 0.878 0.374 0.374
Co1 0.750 0.750 0.750



No. 2
Entry from Alexandria via LeMat-Bulk: crystalline AgPbAu14 at its relaxed geometry (PBE-GGA).

## Properties
Formation enthalpy at 0 K (meV/atom): 20
DOS(E_F) (states/eV/cell): 5.23
Size of the total moment (μB/f.u.): 0.00
Symmetry: P4/mmm, No. 123

a = 5.991 Å, b = 5.991 Å, c = 8.332 Å
α = 90.00°, β = 90.00°, γ = 90.00°
Sites, in units of the cell vectors:
Ag1 0.000 0.000 0.000
Pb1 0.500 0.500 0.000
Au1 0.000 0.000 0.500
Au2 0.000 0.500 0.000
Au3 0.000 0.500 0.500
Au4 0.246 0.246 0.257
Au5 0.246 0.246 0.743
Au6 0.246 0.754 0.257
Au7 0.246 0.754 0.743
Au8 0.500 0.000 0.000
Au9 0.500 0.000 0.500
Au10 0.500 0.500 0.500
Au11 0.754 0.246 0.257
Au12 0.754 0.246 0.743
Au13 0.754 0.754 0.257
Au14 0.754 0.754 0.743



Look up the formation enthalpy at 0 K of the second one. 20 meV/atom



Among the records above, which one has the highest size of the total moment? Cr5Co



Which formula does entry 2 have? AgPbAu14



Number 2 is which compound? AgPbAu14